Record 1
A PBEsol-optimized structure of K4AlTe. Source: Alexandria, functional meta-GGA SCAN.

symmetry	No. 216
crystal system	cubic
formation energy without anion corrections	18.3	kJ/mol of atoms
E_tot	-12.86	eV/atom

Cell: 6.9642 6.9642 6.9642 Å, 60.00 60.00 60.00°
Closest atoms and distances in Å follow each position.
Element x y z (fractional)
Al1 0.0000 0.0000 0.0000  12 K 4.09, 4 Te 4.26
K1 0.3766 0.3766 0.3766  6 K 3.44-3.53
K2 0.3766 0.8702 0.3766  6 K 3.44-3.53
K3 0.8702 0.3766 0.3766  6 K 3.44-3.53
Te1 0.7500 0.7500 0.7500  12 K 4.08, 4 Al 4.26
K4 0.3766 0.3766 0.8702  6 K 3.44-3.53


Record 2
A PBEsol-optimized structure of ScRhAuCl2. Source: Alexandria, functional meta-GGA SCAN.

symmetry	No. 123
crystal system	tetragonal
formation energy without anion corrections	-27.2	kJ/mol of atoms
E_tot	-26.91	eV/atom

Cell: 4.6927 4.6927 4.9613 Å, 90.00 90.00 90.00°
Closest atoms and distances in Å follow each position.
Element x y z (fractional)
Rh1 0.0000 0.0000 0.5000  2 Sc 2.48
Sc1 0.0000 0.0000 0.0000  4 Cl 2.35, 2 Rh 2.48
Au1 0.5000 0.5000 0.5000  4 Rh 3.32, 8 Cl 3.41
Cl1 0.5000 0.0000 0.0000  2 Sc 2.35
Cl2 0.0000 0.5000 0.0000  2 Sc 2.35


Record 3
A PBEsol-optimized structure of K2AsPb. Source: Alexandria, functional meta-GGA SCAN.

symmetry	No. 160
energy of formation	-0.297	eV per atom
crystal system	trigonal
E_tot	-28.45	eV/atom
energy above the lowest structure with this stoichiometry	133	meV/atom

Cell: 4.3524 4.3524 10.3391 Å, 77.85 77.85 60.00°
Closest atoms and distances in Å follow each position.
Element x y z (fractional)
K1 0.7711 0.7711 0.6867  3 Pb 3.63
As1 0.2353 0.2353 0.2940  3 Pb 2.84
K2 0.9685 0.9685 0.0944  3 As 3.21
Pb1 0.5250 0.5250 0.4250  3 As 2.84